DFT (PBEsol) results for a geometry-optimized Bi6O5F8 structure.

Cell: 5.6430 5.8168 33.8253 Å, 90.19 90.00 90.00°
Fractional coordinates of all 76 atoms:
F 0.6686 0.1227 0.1791
O 0.4880 0.4842 0.6279
Bi 0.7788 0.2909 0.9167
F 0.9402 0.0380 0.5360
Bi 0.2952 0.2925 0.1657
Bi 0.2048 0.2925 0.6657
F 0.1468 0.0954 0.8919
F 0.9450 0.0222 0.9623
O 0.5126 0.4925 0.5421
Bi 0.7952 0.7075 0.3343
F 0.0550 0.9778 0.0377
Bi 0.7864 0.2722 0.7508
Bi 0.7048 0.7075 0.8343
F 0.6619 0.1335 0.3167
O 0.0126 0.5075 0.9579
F 0.4402 0.9620 0.9640
F 0.0598 0.9620 0.4640
O 0.4900 0.4776 0.8735
F 0.3381 0.8665 0.6833
F 0.6468 0.9046 0.6081
F 0.8381 0.1335 0.8167
F 0.3298 0.1271 0.2532
F 0.5598 0.0380 0.0360
O 0.0145 0.5096 0.5425
O 0.9900 0.5224 0.6265
O 0.0120 0.4842 0.1279
Bi 0.2864 0.7278 0.7492
Bi 0.7682 0.7160 0.1655
O 0.5081 0.4783 0.7889
F 0.5550 0.0222 0.4623
F 0.8314 0.1227 0.6791
Bi 0.2478 0.2796 0.5003
F 0.3314 0.8773 0.8209
Bi 0.2318 0.2840 0.8345
Bi 0.2788 0.7091 0.5833
Bi 0.2297 0.7083 0.4174
Bi 0.7522 0.7204 0.4997
Bi 0.2703 0.7083 0.9174
Bi 0.2522 0.2796 0.0003
F 0.5063 0.4654 0.7094
O 0.5100 0.5224 0.1265
O 0.0081 0.5217 0.7111
O 0.5120 0.5158 0.3721
F 0.1273 0.0894 0.6087
F 0.9937 0.4654 0.2094
F 0.3532 0.0954 0.3919
O 0.4874 0.5075 0.4579
F 0.1619 0.8665 0.1833
F 0.6273 0.9106 0.8913
F 0.3727 0.0894 0.1087
Bi 0.2136 0.7278 0.2492
O 0.9880 0.5158 0.8721
O 0.0100 0.4776 0.3735
Bi 0.2212 0.7091 0.0833
F 0.8532 0.9046 0.1081
Bi 0.7297 0.2917 0.0826
F 0.8298 0.8729 0.2468
F 0.1702 0.1271 0.7532
F 0.4937 0.5346 0.2906
O 0.4855 0.5096 0.0425
O 0.9855 0.4904 0.4575
O 0.9874 0.4925 0.0421
F 0.0063 0.5346 0.7906
Bi 0.2682 0.2840 0.3345
Bi 0.7703 0.2917 0.5826
O 0.9919 0.4783 0.2889
F 0.1686 0.8773 0.3209
O 0.4919 0.5217 0.2111
Bi 0.7136 0.2722 0.2508
Bi 0.7478 0.7204 0.9997
Bi 0.7318 0.7160 0.6655
Bi 0.7212 0.2909 0.4167
O 0.5145 0.4904 0.9575
F 0.4450 0.9778 0.5377
F 0.6702 0.8729 0.7468
F 0.8727 0.9106 0.3913

Summary:
Magnetic moment   0.00 μB per formula unit
Total DFT energy (no corrections)   -5.531 eV/atom
Formation energy from raw total energies   -1.984 eV per atom
ρ   8.9 g/cm³
ΔE to the lowest computed polymorph   0.0 meV per atom



DFT (PBEsol) results for a geometry-optimized Bi7O6F9 structure.

Cell: 5.7066 5.7026 20.6106 Å, 97.95 90.00 90.00°
Fractional coordinates of all 44 atoms:
F 0.0030 0.5780 0.1404
Bi 0.2564 0.4540 0.5000
Bi 0.2911 0.3286 0.2003
O 0.5110 0.8994 0.8562
F 0.4629 0.7124 0.4347
O 0.0000 0.4812 0.0000
F 0.5371 0.2124 0.4347
F 0.9474 0.7630 0.7302
Bi 0.7465 0.2691 0.0597
Bi 0.2535 0.7691 0.0597
O 0.4842 0.6723 0.2874
F 0.9970 0.0780 0.1404
Bi 0.2915 0.9678 0.3453
O 0.5110 0.5432 0.1438
F 0.0030 0.9377 0.8596
F 0.9474 0.5328 0.2698
F 0.8772 0.9632 0.6068
F 0.0526 0.2630 0.7302
Bi 0.7085 0.6225 0.6547
F 0.1228 0.3565 0.3932
Bi 0.7089 0.1284 0.7997
Bi 0.2911 0.6284 0.7997
Bi 0.7085 0.4678 0.3453
O 0.4890 0.3994 0.8562
F 0.1252 0.0832 0.5000
O 0.5000 0.4895 0.0000
F 0.4629 0.7776 0.5653
O 0.0000 0.9812 0.0000
Bi 0.2915 0.1225 0.6547
F 0.5371 0.2776 0.5653
F 0.8748 0.5832 0.5000
F 0.0526 0.0328 0.2698
O 0.5158 0.3848 0.7126
O 0.4890 0.0432 0.1438
Bi 0.7089 0.8286 0.2003
F 0.9970 0.4377 0.8596
O 0.5158 0.1723 0.2874
F 0.8772 0.8565 0.3932
Bi 0.7436 0.9540 0.5000
O 0.4842 0.8848 0.7126
Bi 0.2535 0.2094 0.9403
F 0.1228 0.4632 0.6068
Bi 0.7465 0.7094 0.9403
O 0.5000 0.9895 0.0000

Summary:
Magnetic moment   0.00 μB per formula unit
Total DFT energy (no corrections)   -5.522 eV/atom
Formation energy from raw total energies   -1.938 eV per atom
ρ   8.6 g/cm³
ΔE to the lowest computed polymorph   28.6 meV per atom



DFT (PBEsol) results for a geometry-optimized Bi5O7F structure.

Cell: 5.1346 14.3298 14.3298 Å, 66.58 79.68 79.68°
Fractional coordinates of all 52 atoms:
O 0.4805 0.9963 0.8966
O 0.6266 0.3966 0.4963
F 0.6532 0.0968 0.5968
Bi 0.3043 0.4457 0.9457
Bi 0.0808 0.0191 0.8556
O 0.8734 0.5037 0.6034
Bi 0.9556 0.6444 0.4809
O 0.8246 0.0762 0.2269
O 0.0195 0.1034 0.0037
Bi 0.1874 0.7270 0.8892
O 0.3723 0.5762 0.7269
Bi 0.1964 0.3892 0.2270
Bi 0.6964 0.2270 0.3892
Bi 0.6874 0.8892 0.7270
O 0.5044 0.7500 0.7500
O 0.4979 0.4171 0.0835
O 0.3734 0.6034 0.5037
Bi 0.3036 0.7730 0.6108
O 0.8723 0.7269 0.5762
O 0.9985 0.4165 0.0829
O 0.4985 0.0829 0.4165
O 0.4956 0.2500 0.2500
O 0.5021 0.5829 0.9165
O 0.9979 0.0835 0.4171
F 0.8468 0.4032 0.9032
Bi 0.4192 0.1444 0.9809
Bi 0.5808 0.8556 0.0191
Bi 0.5444 0.5191 0.3556
O 0.0044 0.7500 0.7500
O 0.1277 0.2731 0.4238
Bi 0.0444 0.3556 0.5191
Bi 0.9192 0.9809 0.1444
O 0.3246 0.2269 0.0762
O 0.0021 0.9165 0.5829
O 0.1754 0.9238 0.7731
F 0.1532 0.5968 0.0968
O 0.6277 0.4238 0.2731
Bi 0.1957 0.0543 0.5543
O 0.9805 0.8966 0.9963
Bi 0.8036 0.6108 0.7730
O 0.1266 0.4963 0.3966
O 0.9956 0.2500 0.2500
Bi 0.3126 0.1108 0.2730
O 0.0015 0.5835 0.9171
Bi 0.6957 0.5543 0.0543
O 0.5195 0.0037 0.1034
Bi 0.8126 0.2730 0.1108
Bi 0.8043 0.9457 0.4457
O 0.6754 0.7731 0.9238
O 0.5015 0.9171 0.5835
F 0.3468 0.9032 0.4032
Bi 0.4556 0.4809 0.6444

Summary:
Magnetic moment   0.00 μB per formula unit
Total DFT energy (no corrections)   -5.953 eV/atom
Formation energy from raw total energies   -1.330 eV per atom
ρ   8.3 g/cm³
ΔE to the lowest computed polymorph   14.7 meV per atom



DFT (PBEsol) results for a geometry-optimized BiOF structure.

Cell: 3.9401 3.9401 7.2531 Å, 74.24 74.24 60.00°
Fractional coordinates of all 6 atoms:
Bi 0.4043 0.4043 0.7870
O 0.2971 0.2971 0.1086
F 0.8841 0.8841 0.3476
F 0.1159 0.1159 0.6524
Bi 0.5957 0.5957 0.2130
O 0.7029 0.7029 0.8914

Summary:
Magnetic moment   0.00 μB per formula unit
Total DFT energy (no corrections)   -5.640 eV/atom
Formation energy from raw total energies   -1.819 eV per atom
ρ   8.8 g/cm³



DFT (PBEsol) results for a geometry-optimized BiOF structure.

Cell: 3.7440 6.2299 7.2380 Å, 90.00 90.00 90.00°
Fractional coordinates of all 12 atoms:
Bi 0.2500 0.2210 0.9080
Bi 0.7500 0.2790 0.4080
Bi 0.2500 0.7210 0.5920
O 0.7500 0.6403 0.4305
F 0.7500 0.5421 0.8333
O 0.7500 0.1403 0.0695
Bi 0.7500 0.7790 0.0920
O 0.2500 0.8597 0.9305
F 0.2500 0.9579 0.3333
O 0.2500 0.3597 0.5695
F 0.7500 0.0421 0.6667
F 0.2500 0.4579 0.1667

Summary:
Magnetic moment   0.00 μB per formula unit
Total DFT energy (no corrections)   -5.669 eV/atom
Formation energy from raw total energies   -1.848 eV per atom
ρ   9.6 g/cm³



DFT (PBEsol) results for a geometry-optimized Bi5O7F structure.

Cell: 6.6517 11.6866 12.2753 Å, 90.00 90.00 95.54°
Fractional coordinates of all 52 atoms:
O 0.2140 0.9123 0.7750
O 0.5300 0.4103 0.3351
O 0.5264 0.9934 0.8961
O 0.6244 0.2643 0.0991
O 0.7140 0.4123 0.7250
Bi 0.6080 0.9172 0.2303
O 0.0264 0.4934 0.6039
O 0.4962 0.4986 0.8947
Bi 0.8920 0.5828 0.7303
O 0.9962 0.9986 0.6053
Bi 0.2314 0.6141 0.4971
O 0.3756 0.7357 0.9009
O 0.0300 0.9103 0.1649
O 0.9700 0.0897 0.8351
O 0.6011 0.0093 0.6638
O 0.4700 0.5897 0.6649
Bi 0.4136 0.7726 0.7206
F 0.4966 0.7836 0.5210
Bi 0.9136 0.2726 0.7794
Bi 0.3920 0.0828 0.7697
O 0.8989 0.4907 0.1638
Bi 0.7314 0.1141 0.0029
O 0.3989 0.9907 0.3362
Bi 0.0864 0.7274 0.2206
F 0.5034 0.2164 0.4790
O 0.1329 0.7234 0.6355
Bi 0.7689 0.0805 0.5147
Bi 0.5864 0.2274 0.2794
O 0.5038 0.5014 0.1053
O 0.7860 0.0877 0.2250
Bi 0.2311 0.9195 0.4853
O 0.2860 0.5877 0.2750
O 0.8671 0.2766 0.3645
O 0.9736 0.5066 0.3961
Bi 0.1080 0.4172 0.2697
Bi 0.2689 0.5805 0.9853
Bi 0.3885 0.4338 0.7445
F 0.9966 0.2836 0.9790
O 0.4736 0.0066 0.1039
O 0.6329 0.2234 0.8645
O 0.1011 0.5093 0.8362
Bi 0.1115 0.0662 0.2445
Bi 0.6115 0.5662 0.2555
Bi 0.8885 0.9338 0.7555
O 0.8756 0.2357 0.5991
O 0.0038 0.0014 0.3947
O 0.3671 0.7766 0.1355
Bi 0.7686 0.3859 0.5029
F 0.0034 0.7164 0.0210
O 0.1244 0.7643 0.4009
Bi 0.7311 0.4195 0.0147
Bi 0.2686 0.8859 0.9971

Summary:
Magnetic moment   0.00 μB per formula unit
Total DFT energy (no corrections)   -5.921 eV/atom
Formation energy from raw total energies   -1.298 eV per atom
ρ   8.2 g/cm³
ΔE to the lowest computed polymorph   47.0 meV per atom



DFT (PBEsol) results for a geometry-optimized Bi5O4F7 structure.

Cell: 5.6363 11.6293 14.4061 Å, 90.00 101.28 90.00°
Fractional coordinates of all 64 atoms:
O 0.0734 0.9890 0.2039
F 0.1432 0.7260 0.1809
F 0.1925 0.9814 0.4012
F 0.0595 0.7996 0.8417
O 0.1927 0.4913 0.4064
Bi 0.3045 0.3960 0.0997
F 0.4901 0.3153 0.3289
F 0.1613 0.6847 0.6711
O 0.9952 0.0000 0.0000
F 0.9285 0.2373 0.9922
O 0.0013 0.5000 0.0000
F 0.6925 0.5186 0.4012
Bi 0.1907 0.1105 0.9018
O 0.8685 0.5053 0.7978
Bi 0.3632 0.1059 0.2951
O 0.8695 0.0110 0.7961
F 0.6386 0.3084 0.6525
Bi 0.6907 0.3895 0.9018
Bi 0.8045 0.1040 0.0997
F 0.2178 0.2004 0.1583
Bi 0.8335 0.8930 0.2987
F 0.7913 0.0186 0.5988
Bi 0.8632 0.3941 0.2951
F 0.4364 0.7373 0.0078
O 0.7862 0.5087 0.5936
Bi 0.5681 0.6059 0.7049
F 0.6432 0.7740 0.1809
Bi 0.7048 0.8960 0.9003
F 0.9107 0.8144 0.5123
F 0.9364 0.7627 0.0078
F 0.4285 0.2627 0.9922
Bi 0.0229 0.1136 0.4975
O 0.3695 0.4890 0.7961
O 0.2862 0.9913 0.5936
Bi 0.2048 0.6040 0.9003
O 0.5734 0.5110 0.2039
O 0.0708 0.4947 0.2022
O 0.5013 0.0000 0.0000
F 0.6613 0.8153 0.6711
F 0.9624 0.2740 0.8191
Bi 0.0348 0.3930 0.7013
F 0.1386 0.1916 0.6525
F 0.4861 0.8084 0.3475
F 0.9861 0.6916 0.3475
F 0.2913 0.4814 0.5988
F 0.8983 0.3144 0.4877
O 0.6927 0.0087 0.4064
Bi 0.0681 0.8941 0.7049
Bi 0.2888 0.8895 0.0982
Bi 0.0254 0.6136 0.5025
O 0.5708 0.0053 0.2022
O 0.4952 0.5000 0.0000
F 0.7178 0.2996 0.1583
Bi 0.5348 0.1070 0.7013
F 0.5595 0.7004 0.8417
Bi 0.3335 0.6070 0.2987
F 0.4624 0.2260 0.8191
F 0.3983 0.1856 0.4877
F 0.9901 0.1847 0.3289
Bi 0.7888 0.6105 0.0982
Bi 0.5229 0.3864 0.4975
O 0.3685 0.9947 0.7978
Bi 0.5254 0.8864 0.5025
F 0.4107 0.6856 0.5123

Summary:
Magnetic moment   0.00 μB per formula unit
Total DFT energy (no corrections)   -5.501 eV/atom
Formation energy from raw total energies   -2.006 eV per atom
ρ   8.9 g/cm³



DFT (PBEsol) results for a geometry-optimized Bi4O5F2 structure.

Cell: 5.3173 11.4272 12.9001 Å, 96.90 90.00 90.00°
Fractional coordinates of all 44 atoms:
F 0.6607 0.6354 0.4356
O 0.4833 0.2660 0.7305
F 0.7905 0.0322 0.7522
Bi 0.2472 0.7280 0.1120
F 0.2905 0.9678 0.2478
O 0.4861 0.4281 0.9023
O 0.6116 0.3554 0.3064
O 0.4865 0.7317 0.2670
Bi 0.7577 0.5968 0.9552
Bi 0.7552 0.5672 0.2446
F 0.1607 0.3646 0.5644
O 0.6679 0.3216 0.0684
O 0.4815 0.5693 0.0940
Bi 0.7347 0.2179 0.1921
O 0.9815 0.4307 0.9060
F 0.8209 0.1168 0.3570
Bi 0.7478 0.2747 0.5980
O 0.9833 0.7340 0.2695
O 0.6062 0.7152 0.7925
F 0.6874 0.7884 0.0777
Bi 0.2577 0.4032 0.0448
F 0.1874 0.2116 0.9223
Bi 0.7472 0.2720 0.8880
O 0.1062 0.2848 0.2075
O 0.1679 0.6784 0.9316
O 0.9861 0.5719 0.0977
O 0.9865 0.2683 0.7330
Bi 0.7281 0.6368 0.6415
O 0.1116 0.6446 0.6936
O 0.5015 0.9034 0.4274
O 0.4951 0.0932 0.5742
O 0.6676 0.4664 0.6778
Bi 0.2335 0.1078 0.7179
Bi 0.7335 0.8922 0.2821
Bi 0.2369 0.0577 0.4240
F 0.3209 0.8832 0.6430
Bi 0.2347 0.7821 0.8079
O 0.9951 0.9068 0.4258
Bi 0.2478 0.7253 0.4020
Bi 0.2552 0.4328 0.7554
Bi 0.7369 0.9423 0.5760
Bi 0.2281 0.3632 0.3585
O 0.1676 0.5336 0.3222
O 0.0015 0.0966 0.5726

Summary:
Magnetic moment   0.00 μB per formula unit
Total DFT energy (no corrections)   -5.832 eV/atom
Formation energy from raw total energies   -1.537 eV per atom
ρ   8.1 g/cm³
ΔE to the lowest computed polymorph   0.0 meV per atom



DFT (PBEsol) results for a geometry-optimized Bi6O5F8 structure.

Cell: 3.9483 5.7871 12.1066 Å, 90.33 89.69 89.58°
Fractional coordinates of all 19 atoms:
O 0.2474 0.0048 0.5988
Bi 0.2562 0.7652 0.0735
F 0.7553 0.4992 0.0839
O 0.7398 0.0453 0.4195
Bi 0.7517 0.2309 0.2502
O 0.2570 0.9824 0.9150
F 0.2516 0.4192 0.2209
Bi 0.2660 0.7812 0.7495
F 0.7109 0.6786 0.5654
F 0.7439 0.5837 0.3432
Bi 0.3077 0.7841 0.4392
Bi 0.7556 0.2201 0.5842
O 0.7564 0.9846 0.7603
F 0.2565 0.9649 0.2524
Bi 0.7556 0.2019 0.9176
O 0.7529 0.9886 0.0821
F 0.2586 0.4956 0.9271
F 0.2377 0.3977 0.4965
F 0.7683 0.4719 0.7637

Summary:
Magnetic moment   0.00 μB per formula unit
Total DFT energy (no corrections)   -5.519 eV/atom
Formation energy from raw total energies   -1.973 eV per atom
ρ   8.9 g/cm³
ΔE to the lowest computed polymorph   11.6 meV per atom